An optimized crystal structure of SeI3N. Source: the Alexandria database, functional PBE.

## Properties
formation energy without anion corrections: 5.9 eV per formula unit
mass density: 6.2 g/cm3
E above lowest polymorph: 2.40 eV/f.u.
N(E_F): 7.28 states/eV/f.u.
DFT total energy: -10.54 eV for the cell shown

Cell lengths 5.0377, 5.0377, 5.0377 Å; angles 90.00, 90.00, 90.00 degrees
With the nearest neighbours (Å) after each atom.
Space group Pm-3m (No. 221)
Inequivalent atoms, fractional coordinates:
Se 0.0000 0.0000 0.0000  12 I 3.56
I 0.0000 0.5000 0.5000  2 N 2.52
N 0.5000 0.5000 0.5000  6 I 2.52

An optimized crystal structure of La10Pm4Sm. Source: the Alexandria database, functional PBE.

## Properties
calculated formation energy: 639 meV/atom
mass density: 5.7 g/cm3
N(E_F): 27.57 states/eV/f.u.
DFT total energy: -126.82 eV for the cell shown

Cell lengths 12.5341, 12.5341, 7.9001 Å; angles 90.00, 90.00, 90.00 degrees
With the nearest neighbours (Å) after each atom.
Space group I4/m (No. 87)
Inequivalent atoms, fractional coordinates:
La 0.0000 0.5000 0.2500  4 Pm 3.43
La 0.0994 0.2001 0.2502  3 Pm 3.43, 1 Sm 3.43
Pm 0.1004 0.7003 0.0000  8 La 3.43
Sm 0.0000 0.0000 0.5000  8 La 3.43

An optimized crystal structure of ScNbPd. Source: the Alexandria database, functional PBE.

## Properties
calculated formation energy: -363 meV/atom
mass density: 7.4 g/cm3
E above lowest polymorph: 0.30 eV/f.u.
N(E_F): 1.31 states/eV/f.u.
DFT total energy: -90.73 eV for the cell shown

Cell lengths 4.6411, 10.4158, 4.5615 Å; angles 90.00, 90.00, 90.00 degrees
With the nearest neighbours (Å) after each atom.
Space group Cmcm (No. 63)
Inequivalent atoms, fractional coordinates:
Sc 0.0000 0.0983 0.2500  4 Pd 2.75-2.84, 2 Nb 2.98, 2 Sc 3.07
Nb 0.0000 0.4195 0.2500  2 Nb 2.83, 4 Pd 2.89-2.92, 2 Sc 2.98
Pd 0.0000 0.2452 0.7500  4 Sc 2.75-2.84, 4 Nb 2.89-2.92